No. 1
The following is a DFT calculation (PBE-GGA) of crystalline TeOsI2N at its relaxed geometry.

Lattice parameters (Å, degrees): 4.714 4.714 4.902 90.00 90.00 90.00
Space group P4/mmm (No. 123)
One atom of each set of equivalent atoms:
Te 0.000 0.000 0.000 x1
Os 0.500 0.500 0.000 x1
I 0.000 0.500 0.500 x2
N 0.000 0.000 0.500 x1

## Properties
Formation energy from raw total energies (eV/atom): 1.88
Polymorph energy (0 for the lowest one) (meV/atom): 1277


No. 2
The following is a DFT calculation (PBE-GGA) of crystalline TeOsIN2 at its relaxed geometry.

Lattice parameters (Å, degrees): 4.000 4.000 5.854 90.00 90.00 90.00
Space group P4/mmm (No. 123)
One atom of each set of equivalent atoms:
Te 0.000 0.000 0.000 x1
Os 0.000 0.000 0.500 x1
I 0.500 0.500 0.000 x1
N 0.000 0.500 0.500 x2

## Properties
Formation energy from raw total energies (eV/atom): 0.95
Polymorph energy (0 for the lowest one) (meV/atom): 0


No. 3
The following is a DFT calculation (PBE-GGA) of crystalline Te2OsIN at its relaxed geometry.

Lattice parameters (Å, degrees): 5.633 5.633 3.710 90.00 90.00 90.00
Space group P4/mmm (No. 123)
One atom of each set of equivalent atoms:
Te 0.000 0.500 0.000 x2
Os 0.000 0.000 0.000 x1
I 0.500 0.500 0.500 x1
N 0.000 0.000 0.500 x1

## Properties
Formation energy from raw total energies (eV/atom): 0.44
Polymorph energy (0 for the lowest one) (meV/atom): 0


No. 4
The following is a DFT calculation (PBE-GGA) of crystalline TeOsIN2 at its relaxed geometry.

Lattice parameters (Å, degrees): 3.910 3.910 7.409 90.00 90.00 90.00
Space group P4/mmm (No. 123)
One atom of each set of equivalent atoms:
Te 0.000 0.000 0.000 x1
Os 0.500 0.500 0.000 x1
I 0.000 0.000 0.500 x1
N 0.000 0.500 0.500 x2

## Properties
Formation energy from raw total energies (eV/atom): 2.42
Polymorph energy (0 for the lowest one) (meV/atom): 1466


No. 5
The following is a DFT calculation (PBE-GGA) of crystalline Te2OsIN at its relaxed geometry.

Lattice parameters (Å, degrees): 5.682 5.682 3.792 90.00 90.00 90.00
Space group P4/mmm (No. 123)
One atom of each set of equivalent atoms:
Te 0.000 0.500 0.000 x2
Os 0.000 0.000 0.500 x1
I 0.500 0.500 0.000 x1
N 0.500 0.500 0.500 x1

## Properties
Formation energy from raw total energies (eV/atom): 2.19
Polymorph energy (0 for the lowest one) (meV/atom): 1758


No. 6
The following is a DFT calculation (PBE-GGA) of crystalline TeOsIN2 at its relaxed geometry.

Lattice parameters (Å, degrees): 3.976 3.976 6.192 90.00 90.00 90.00
Space group P4/mmm (No. 123)
One atom of each set of equivalent atoms:
Te 0.000 0.000 0.000 x1
Os 0.500 0.500 0.500 x1
I 0.500 0.500 0.000 x1
N 0.000 0.500 0.500 x2

## Properties
Formation energy from raw total energies (eV/atom): 1.16
Polymorph energy (0 for the lowest one) (meV/atom): 206


No. 7
The following is a DFT calculation (PBE-GGA) of crystalline TeOsIN2 at its relaxed geometry.

Lattice parameters (Å, degrees): 3.954 3.954 7.555 90.00 90.00 90.00
Space group P4/mmm (No. 123)
One atom of each set of equivalent atoms:
Te 0.000 0.000 0.000 x1
Os 0.500 0.500 0.500 x1
I 0.000 0.000 0.500 x1
N 0.000 0.500 0.000 x2

## Properties
Formation energy from raw total energies (eV/atom): 2.21
Polymorph energy (0 for the lowest one) (meV/atom): 1258


No. 8
The following is a DFT calculation (PBE-GGA) of crystalline TeOsI2N at its relaxed geometry.

Lattice parameters (Å, degrees): 6.195 6.195 3.959 90.00 90.00 90.00
Space group P4/mmm (No. 123)
One atom of each set of equivalent atoms:
Te 0.000 0.000 0.000 x1
Os 0.500 0.500 0.500 x1
I 0.000 0.500 0.000 x2
N 0.000 0.000 0.500 x1

## Properties
Formation energy from raw total energies (eV/atom): 1.90
Polymorph energy (0 for the lowest one) (meV/atom): 1300


No. 9
The following is a DFT calculation (PBE-GGA) of crystalline TeOsI2N at its relaxed geometry.

Lattice parameters (Å, degrees): 5.666 5.666 3.755 90.00 90.00 90.00
Space group P4/mmm (No. 123)
One atom of each set of equivalent atoms:
Te 0.000 0.000 0.000 x1
Os 0.500 0.500 0.500 x1
I 0.000 0.500 0.500 x2
N 0.500 0.500 0.000 x1

## Properties
Formation energy from raw total energies (eV/atom): 0.60
Polymorph energy (0 for the lowest one) (meV/atom): 0


No. 10
The following is a DFT calculation (PBE-GGA) of crystalline TiOsI2N at its relaxed geometry.

Lattice parameters (Å, degrees): 5.496 5.496 3.626 90.00 90.00 90.00
Space group P4/mmm (No. 123)
One atom of each set of equivalent atoms:
Ti 0.000 0.000 0.000 x1
Os 0.500 0.500 0.500 x1
I 0.000 0.500 0.000 x2
N 0.000 0.000 0.500 x1

## Properties
Formation energy from raw total energies (eV/atom): 1.03
Polymorph energy (0 for the lowest one) (meV/atom): 321


No. 11
The following is a DFT calculation (PBE-GGA) of crystalline TiOsI2N at its relaxed geometry.

Lattice parameters (Å, degrees): 5.557 5.557 3.718 90.00 90.00 90.00
Space group P4/mmm (No. 123)
One atom of each set of equivalent atoms:
Ti 0.000 0.000 0.000 x1
Os 0.500 0.500 0.500 x1
I 0.000 0.500 0.500 x2
N 0.500 0.500 0.000 x1

## Properties
Formation energy from raw total energies (eV/atom): 0.71
Polymorph energy (0 for the lowest one) (meV/atom): 0


No. 12
The following is a DFT calculation (PBE-GGA) of crystalline Tl2OsIN at its relaxed geometry.

Lattice parameters (Å, degrees): 6.153 6.153 3.755 90.00 90.00 90.00
Space group P4/mmm (No. 123)
One atom of each set of equivalent atoms:
Tl 0.000 0.500 0.000 x2
Os 0.000 0.000 0.500 x1
I 0.500 0.500 0.500 x1
N 0.000 0.000 0.000 x1

## Properties
Formation energy from raw total energies (eV/atom): 0.46